Entry 1:
DFT (meta-GGA SCAN) results for Zr2TaZnAs at its PBEsol-relaxed geometry.

```
Zr2TaZnAs
1.0
4.822 0.000 0.000
0.000 5.072 0.000
0.000 0.000 5.072
As Ta Zr Zn
1 1 2 1
direct
0.500 0.000 0.000
0.000 0.000 0.000
0.000 0.500 0.000
0.000 0.000 0.500
0.500 0.500 0.500
```

Values from the calculation:
Calculated volume in Å³/atom: 24.81
Formation energy in kcal/mol of atoms: 16.86
Mass density in g cm⁻³: 6.74
E_tot in eV/atom: -31.606

***

Entry 2:
DFT (meta-GGA SCAN) results for Y2HfPt2 at its PBEsol-relaxed geometry.

```
Y2HfPt2
1.0
4.519 0.000 0.000
0.000 6.932 0.000
0.000 0.000 6.932
Y Pt Hf
4 4 2
direct
0.500 0.670 0.830
0.500 0.330 0.170
0.500 0.830 0.330
0.500 0.170 0.670
0.000 0.140 0.360
0.000 0.360 0.860
0.000 0.860 0.640
0.000 0.640 0.140
0.000 0.000 0.000
0.000 0.500 0.500
```

Values from the calculation:
Calculated volume in Å³/atom: 21.71
Formation energy in kcal/mol of atoms: -27.45
Mass density in g cm⁻³: 11.42
E_tot in eV/atom: -52.940

***

Entry 3:
DFT (meta-GGA SCAN) results for LaTeO2 at its PBEsol-relaxed geometry.

```
LaTeO2
1.0
5.685 0.000 0.000
0.000 5.685 0.000
-2.843 -2.843 5.295
La O Te
2 4 2
direct
0.250 0.750 0.500
0.000 0.000 0.000
0.921 0.375 0.250
0.329 0.875 0.250
0.625 0.671 0.750
0.125 0.079 0.750
0.500 0.500 0.000
0.750 0.250 0.500
```

Values from the calculation:
Calculated volume in Å³/atom: 21.40
Distance to the lowest polymorph of the same formula in eV per formula unit: 0.000
Mass density in g cm⁻³: 5.79
E_tot in eV/atom: -24.884
Formation energy from raw total energies in eV/atom: -1.6796

***

Entry 4:
DFT (meta-GGA SCAN) results for TaO2 at its PBEsol-relaxed geometry.

```
TaO2
1.0
-2.828 0.328 -0.313
-0.462 -4.841 -0.904
-0.633 -0.842 4.833
Ta O
2 4
direct
0.000 0.500 0.500
0.500 0.000 0.000
0.500 0.287 0.713
0.500 0.713 0.287
0.000 0.213 0.213
0.000 0.787 0.787
```

Values from the calculation:
Calculated volume in Å³/atom: 11.68
Mass density in g cm⁻³: 10.09
E_tot in eV/atom: -29.104
Formation energy from raw total energies in eV/atom: -2.7558

***

Entry 5:
DFT (meta-GGA SCAN) results for HfMoH2Rh at its PBEsol-relaxed geometry.

```
HfMoH2Rh
1.0
3.589 0.000 0.000
0.000 3.589 0.000
0.000 0.000 5.154
Hf Mo Rh H
1 1 1 2
direct
0.000 0.000 0.500
0.000 0.000 0.000
0.500 0.500 0.500
0.000 0.500 0.000
0.500 0.000 0.000
```

Values from the calculation:
Calculated volume in Å³/atom: 13.28
Mass density in g cm⁻³: 9.49
E_tot in eV/atom: -27.079

***

Entry 6:
DFT (meta-GGA SCAN) results for ZnCrOs2 at its PBEsol-relaxed geometry.

```
ZnCrOs2
1.0
-1.814 -1.853 -1.040
3.378 -2.402 -1.613
-0.610 -0.131 5.050
Os Cr Zn
2 1 1
direct
0.272 0.272 0.545
0.728 0.728 0.455
0.000 0.500 0.000
0.500 0.000 0.000
```

Values from the calculation:
Calculated volume in Å³/atom: 13.54
Formation energy in kcal/mol of atoms: 4.62
Mass density in g cm⁻³: 15.26
E_tot in eV/atom: -43.714

***

Entry 7:
DFT (meta-GGA SCAN) results for Nb3CoOs at its PBEsol-relaxed geometry.

```
Nb3CoOs
1.0
-2.558 -1.170 3.457
1.340 -4.227 -0.439
3.394 0.787 2.778
Co Os Nb
1 1 3
direct
0.000 0.000 0.000
0.500 0.500 0.500
0.000 0.500 0.000
0.000 0.000 0.500
0.500 0.000 0.000
```

Values from the calculation:
Calculated volume in Å³/atom: 17.70
Formation energy in kcal/mol of atoms: 21.04
Mass density in g cm⁻³: 9.91
E_tot in eV/atom: -36.802

***

Entry 8:
DFT (meta-GGA SCAN) results for PtRhW at its PBEsol-relaxed geometry.

```
PtRhW
1.0
-0.424 2.485 -1.054
-2.364 -1.524 -2.642
-1.807 0.057 4.402
Rh W Pt
1 1 1
direct
0.671 0.671 0.342
0.330 0.330 0.661
0.999 0.999 0.998
```

Values from the calculation:
Calculated volume in Å³/atom: 14.52
Formation energy in kcal/mol of atoms: -8.13
Distance to the lowest polymorph of the same formula in eV per formula unit: 0.000
Mass density in g cm⁻³: 18.37
E_tot in eV/atom: -58.237

***

Entry 9:
DFT (meta-GGA SCAN) results for NbIr2Cl at its PBEsol-relaxed geometry.

```
NbIr2Cl
1.0
-3.874 -1.083 4.471
-0.174 -3.582 -5.064
4.594 -0.597 3.836
Cl Nb Ir
2 2 4
direct
0.750 0.500 0.250
0.500 0.000 0.500
0.250 0.500 0.750
0.000 0.000 0.000
0.859 0.250 0.875
0.125 0.750 0.609
0.391 0.250 0.375
0.625 0.750 0.141
```

Values from the calculation:
Calculated volume in Å³/atom: 20.43
Mass density in g cm⁻³: 10.42
E_tot in eV/atom: -45.164
Formation energy from raw total energies in eV/atom: 0.6625

***

Entry 10:
DFT (meta-GGA SCAN) results for BaLiZn at its PBEsol-relaxed geometry.

```
BaLiZn
1.0
-3.630 0.884 -2.111
-0.916 -4.779 -0.425
-1.654 2.468 3.877
Li Ba Zn
1 1 1
direct
0.500 0.333 0.667
0.000 0.000 0.000
0.500 0.667 0.333
```

Values from the calculation:
Calculated volume in Å³/atom: 29.56
Formation energy in kcal/mol of atoms: -1.75
Distance to the lowest polymorph of the same formula in eV per formula unit: 0.000
Mass density in g cm⁻³: 3.93
E_tot in eV/atom: -18.561

***

Entry 11:
DFT (meta-GGA SCAN) results for HfCo3B2 at its PBEsol-relaxed geometry.

```
HfCo3B2
1.0
5.625 0.003 0.003
-0.440 5.608 0.003
-0.440 -0.477 5.587
B Hf Co
6 3 9
direct
0.623 0.000 0.377
0.623 0.377 0.000
0.377 0.623 0.000
0.000 0.623 0.377
0.000 0.377 0.623
0.377 0.000 0.623
0.330 0.330 0.330
0.000 0.000 0.000
0.670 0.670 0.670
0.694 0.694 0.196
0.000 0.500 0.000
0.694 0.196 0.694
0.000 0.000 0.500
0.500 0.000 0.000
0.804 0.306 0.306
0.196 0.694 0.694
0.306 0.804 0.306
0.306 0.306 0.804
```

Values from the calculation:
Calculated volume in Å³/atom: 9.79
Formation energy in kcal/mol of atoms: -12.44
Distance to the lowest polymorph of the same formula in eV per formula unit: 0.000
Mass density in g cm⁻³: 10.65
E_tot in eV/atom: -22.114

***

Entry 12:
DFT (meta-GGA SCAN) results for Mg2AlIn at its PBEsol-relaxed geometry.

```
Mg2AlIn
1.0
4.938 0.000 0.000
2.469 4.277 0.000
2.469 1.426 4.032
Al In Mg
1 1 2
direct
0.500 0.500 0.500
0.250 0.250 0.250
0.000 0.000 0.000
0.750 0.750 0.750
```

Values from the calculation:
Calculated volume in Å³/atom: 21.29
Formation energy in kcal/mol of atoms: 0.54
Mass density in g cm⁻³: 3.71
E_tot in eV/atom: -12.748

***

Entry 13:
DFT (meta-GGA SCAN) results for Sn4Rh at its PBEsol-relaxed geometry.

```
Sn4Rh
1.0
-0.304 -6.093 1.461
5.702 0.337 2.593
-7.436 5.528 8.043
Sn Rh
16 4
direct
0.361 0.510 0.373
0.861 0.363 0.373
0.990 0.139 0.627
0.490 0.988 0.627
0.260 0.611 0.873
0.738 0.740 0.127
0.613 0.262 0.873
0.889 0.240 0.127
0.113 0.111 0.873
0.012 0.863 0.373
0.137 0.639 0.627
0.760 0.762 0.873
0.238 0.887 0.127
0.389 0.387 0.127
0.512 0.010 0.373
0.637 0.488 0.627
0.000 0.500 0.000
0.500 0.000 0.000
0.750 0.750 0.500
0.250 0.250 0.500
```

Values from the calculation:
Calculated volume in Å³/atom: 22.51
Formation energy in kcal/mol of atoms: -5.19
Mass density in g cm⁻³: 8.52
E_tot in eV/atom: -35.716

***

Entry 14:
DFT (meta-GGA SCAN) results for Cd2NiTe at its PBEsol-relaxed geometry.

```
Cd2NiTe
1.0
-3.937 1.662 -0.175
-1.101 -2.243 3.471
3.771 3.517 0.833
Te Ni Cd
1 1 2
direct
0.250 0.750 0.500
0.500 0.500 0.000
0.000 0.000 0.000
0.750 0.250 0.500
```

Values from the calculation:
Calculated volume in Å³/atom: 19.47
Mass density in g cm⁻³: 8.76
E_tot in eV/atom: -28.269
Formation energy from raw total energies in eV/atom: 0.2947

***

Entry 15:
DFT (meta-GGA SCAN) results for FeAs at its PBEsol-relaxed geometry.

```
FeAs
1.0
-2.148 1.085 -3.189
-3.350 -1.973 -0.917
-4.233 2.573 1.223
As Fe
2 2
direct
0.261 0.261 0.216
0.739 0.739 0.784
0.908 0.908 0.275
0.092 0.092 0.725
```

Values from the calculation:
Calculated volume in Å³/atom: 15.72
Formation energy in kcal/mol of atoms: 4.27
Mass density in g cm⁻³: 6.90
E_tot in eV/atom: -18.975

***

Entry 16:
DFT (meta-GGA SCAN) results for Zn2InSb at its PBEsol-relaxed geometry.

```
Zn2InSb
1.0
-1.386 0.267 -2.917
1.061 -1.810 -2.470
-6.095 -7.083 0.446
Zn Sb In
2 1 1
direct
0.009 0.009 0.972
0.741 0.741 0.776
0.260 0.260 0.221
0.490 0.490 0.531
```

Values from the calculation:
Calculated volume in Å³/atom: 20.84
Distance to the lowest polymorph of the same formula in eV per formula unit: 0.397
Mass density in g cm⁻³: 7.32
E_tot in eV/atom: -24.209
Formation energy from raw total energies in eV/atom: 0.2108

***

Entry 17:
DFT (meta-GGA SCAN) results for TbZn12 at its PBEsol-relaxed geometry.

```
TbZn12
1.0
-3.428 3.334 -1.573
-2.064 -1.259 -6.226
-6.231 -1.928 1.438
Zn Tb
12 1
direct
0.284 0.216 0.216
0.646 0.354 0.354
0.500 0.000 0.500
0.500 0.784 0.216
0.500 0.500 0.000
0.000 0.000 0.500
0.000 0.354 0.646
0.000 0.646 0.354
0.716 0.784 0.784
0.000 0.500 0.000
0.500 0.216 0.784
0.354 0.646 0.646
0.000 0.000 0.000
```

Values from the calculation:
Calculated volume in Å³/atom: 14.82
Formation energy in kcal/mol of atoms: -5.34
Mass density in g cm⁻³: 8.13
E_tot in eV/atom: -16.304

***

Entry 18:
DFT (meta-GGA SCAN) results for Y2MgW at its PBEsol-relaxed geometry.

```
Y2MgW
1.0
3.214 0.000 0.000
0.000 5.342 0.000
0.000 0.000 5.342
Y W Mg
2 1 1
direct
0.000 0.500 0.000
0.000 0.000 0.500
0.500 0.000 0.000
0.500 0.500 0.500
```

Values from the calculation:
Calculated volume in Å³/atom: 22.93
Formation energy in kcal/mol of atoms: 11.19
Mass density in g cm⁻³: 6.99
E_tot in eV/atom: -32.102

***

Entry 19:
DFT (meta-GGA SCAN) results for MnAsCl2 at its PBEsol-relaxed geometry.

```
MnAsCl2
1.0
-0.394 -3.114 -0.641
-0.032 -0.867 4.233
-6.211 2.779 -1.682
Cl Mn As
2 1 1
direct
0.353 0.353 0.706
0.647 0.647 0.294
0.000 0.500 0.000
0.500 0.000 0.000
```

Values from the calculation:
Calculated volume in Å³/atom: 22.40
Distance to the lowest polymorph of the same formula in eV per formula unit: 0.599
Mass density in g cm⁻³: 3.72
E_tot in eV/atom: -14.027
Formation energy from raw total energies in eV/atom: -0.4261

***

Entry 20:
DFT (meta-GGA SCAN) results for SrMnCr2 at its PBEsol-relaxed geometry.

```
SrMnCr2
1.0
-2.452 -1.784 1.207
2.959 -3.576 0.725
0.945 1.673 4.392
Cr Mn Sr
2 1 1
direct
0.000 0.000 0.000
0.500 0.500 0.000
0.500 0.000 0.500
0.000 0.500 0.500
```

Values from the calculation:
Calculated volume in Å³/atom: 18.38
Formation energy in kcal/mol of atoms: 14.50
Mass density in g cm⁻³: 5.57
E_tot in eV/atom: -18.696

***

Entry 21:
DFT (meta-GGA SCAN) results for Ca2OsCl at its PBEsol-relaxed geometry.

```
Ca2OsCl
1.0
3.164 0.000 0.000
0.000 3.164 0.000
0.000 0.000 9.834
Cl Ca Os
1 2 1
direct
0.000 0.000 0.461
0.000 0.000 0.961
0.500 0.500 0.309
0.500 0.500 0.768
```

Values from the calculation:
Calculated volume in Å³/atom: 24.61
Mass density in g cm⁻³: 5.16
E_tot in eV/atom: -24.681
Formation energy from raw total energies in eV/atom: 0.1147

***

Entry 22:
DFT (meta-GGA SCAN) results for Co2SiIr at its PBEsol-relaxed geometry.

```
Co2SiIr
1.0
3.652 0.000 0.000
0.000 3.652 0.000
-1.826 -1.826 3.442
Si Co Ir
1 2 1
direct
0.250 0.750 0.500
0.750 0.250 0.500
0.000 0.000 0.000
0.500 0.500 0.000
```

Values from the calculation:
Calculated volume in Å³/atom: 11.48
Mass density in g cm⁻³: 12.23
E_tot in eV/atom: -29.199
Formation energy from raw total energies in eV/atom: -0.2680

***

Entry 23:
DFT (meta-GGA SCAN) results for MnP2Se at its PBEsol-relaxed geometry.

```
MnP2Se
1.0
-3.143 -2.944 0.352
0.906 -4.196 -0.491
-0.108 -2.647 3.413
Se Mn P
1 1 2
direct
0.500 0.500 0.500
0.000 0.000 0.000
0.750 0.750 0.750
0.250 0.250 0.250
```

Values from the calculation:
Calculated volume in Å³/atom: 14.26
Mass density in g cm⁻³: 5.70
E_tot in eV/atom: -14.172
Formation energy from raw total energies in eV/atom: 0.6109

***

Entry 24:
DFT (meta-GGA SCAN) results for Cs2AlS at its PBEsol-relaxed geometry.

```
Cs2AlS
1.0
5.836 0.000 0.000
2.918 5.054 0.000
2.918 1.685 4.765
Cs S Al
2 1 1
direct
0.750 0.750 0.750
0.250 0.250 0.250
0.500 0.500 0.500
0.000 0.000 0.000
```

Values from the calculation:
Calculated volume in Å³/atom: 35.13
Mass density in g cm⁻³: 3.84
E_tot in eV/atom: -23.306
Formation energy from raw total energies in eV/atom: -0.0557

***

Entry 25:
DFT (meta-GGA SCAN) results for LuMgTl2 at its PBEsol-relaxed geometry.

```
LuMgTl2
1.0
5.139 0.000 0.000
2.569 4.450 0.000
2.569 1.483 4.196
Tl Mg Lu
2 1 1
direct
0.250 0.250 0.250
0.750 0.750 0.750
0.000 0.000 0.000
0.500 0.500 0.500
```

Values from the calculation:
Calculated volume in Å³/atom: 23.99
Formation energy in kcal/mol of atoms: -7.21
Mass density in g cm⁻³: 10.52
E_tot in eV/atom: -51.571

***

Entry 26:
DFT (meta-GGA SCAN) results for NbFeMo2 at its PBEsol-relaxed geometry.

```
NbFeMo2
1.0
-2.894 -2.410 -2.220
0.656 -0.850 -4.237
1.050 -4.046 -1.281
Nb Fe Mo
1 1 2
direct
0.500 0.500 0.500
0.000 0.000 0.000
0.750 0.750 0.750
0.250 0.250 0.250
```

Values from the calculation:
Calculated volume in Å³/atom: 14.77
Formation energy in kcal/mol of atoms: 3.67
Mass density in g cm⁻³: 9.58
E_tot in eV/atom: -30.098

***

Entry 27:
DFT (meta-GGA SCAN) results for Tc2MoPb at its PBEsol-relaxed geometry.

```
Tc2MoPb
1.0
-1.160 -1.893 -1.903
-0.883 -1.688 2.218
-6.702 3.848 0.259
Tc Mo Pb
2 1 1
direct
0.500 0.500 0.240
0.000 0.000 0.032
0.000 0.000 0.470
0.500 0.500 0.757
```

Values from the calculation:
Calculated volume in Å³/atom: 16.53
Formation energy in kcal/mol of atoms: 11.24
Mass density in g cm⁻³: 12.54
E_tot in eV/atom: -44.709